## UNbIr (PBE)

Data for UNbIr after structural relaxation.

POSCAR file:
```
UNbIr
1.0
3.8111 0.0000 0.0000
0.0000 3.8111 0.0000
0.0000 0.0000 7.8324
U Nb Ir
2 2 2
direct
0.2500 0.7500 0.0000
0.7500 0.2500 0.0000
0.2500 0.2500 0.3748
0.7500 0.7500 0.6252
0.2500 0.2500 0.6964
0.7500 0.7500 0.3036
```

Calculated values
**Size of the total moment**: 1.1 μB per formula unit
**Calculated total energy**: -10.145 eV/atom
**Distance to the lowest polymorph of the same formula**: 0.0525 eV per atom